1.
# YHoIr

A relaxed structure of YHoIr (PBE, Alexandria).

Unit cell a=3.9063 b=7.1729 c=7.9415 alpha=132.90 beta=90.00 gamma=105.80
Fractional coordinates of all 6 atoms:
Y: 0.5575 0.1150 0.1384
Y: 0.1465 0.2930 0.6128
Ho: 0.3111 0.6222 0.1876
Ho: 0.9034 0.8068 0.6684
Ir: 0.8655 0.7310 0.9906
Ir: 0.5931 0.1861 0.8154

Summary:
SG   Cm, No. 8
ΔE_f   -672 meV per atom

2.
# Pr2Br3F

A relaxed structure of Pr2Br3F (PBE, Alexandria).

Unit cell a=4.1457 b=9.0805 c=10.8154 alpha=70.25 beta=78.95 gamma=76.80
Site moments in Bohr magnetons follow the coordinates.
Fractional coordinates of all 12 atoms:
Pr: 0.8527 0.4771 0.8174  0.26
Pr: 0.1473 0.5229 0.1826  0.26
Pr: 0.5766 0.3057 0.5410  0.29
Pr: 0.4234 0.6943 0.4590  0.29
Br: 0.0414 0.1609 0.7563  0.00
Br: 0.9586 0.8391 0.2437  0.00
Br: 0.6557 0.7021 0.9865  0.01
Br: 0.3443 0.2979 0.0135  0.01
Br: 0.7834 0.8136 0.6196  0.00
Br: 0.2166 0.1864 0.3804  0.00
F: 0.4112 0.4873 0.6903  0.01
F: 0.5888 0.5127 0.3097  0.01

Summary:
SG   C2/m, No. 12
Formation energy (no corrections)   -2092 meV/atom

3.
# TaSe2Br

A relaxed structure of TaSe2Br (PBE, Alexandria).

Unit cell a=6.1782 b=6.4278 c=10.9998 alpha=90.00 beta=90.00 gamma=90.00
Fractional coordinates of all 16 atoms:
Ta: 0.0000 0.2500 0.5617
Ta: 0.0000 0.7500 0.4383
Ta: 0.5000 0.2500 0.9383
Ta: 0.5000 0.7500 0.0617
Se: 0.7398 0.9297 0.9152
Se: 0.2602 0.0703 0.0848
Se: 0.2398 0.5703 0.5848
Se: 0.7602 0.4297 0.4152
Se: 0.7397 0.4296 0.0848
Se: 0.2603 0.5704 0.9152
Se: 0.2397 0.0704 0.4152
Se: 0.7603 0.9296 0.5848
Br: 0.2499 0.5945 0.2500
Br: 0.7501 0.4055 0.7500
Br: 0.7499 0.9055 0.2500
Br: 0.2501 0.0945 0.7500

Summary:
SG   Pnna, No. 52
Formation energy (no corrections)   -688 meV/atom

4.
# SrMg2NbZn

A relaxed structure of SrMg2NbZn (PBE, Alexandria).

Unit cell a=5.0412 b=5.6905 c=5.0412 alpha=90.00 beta=90.00 gamma=90.00
Site moments in Bohr magnetons follow the coordinates.
Fractional coordinates of all 5 atoms:
Mg: 0.0000 0.0000 0.5000  -0.02
Mg: 0.5000 0.0000 0.0000  -0.01
Sr: 0.0000 0.5000 0.0000  0.05
Nb: 0.5000 0.5000 0.5000  2.56
Zn: 0.0000 0.0000 0.0000  -0.04

Summary:
SG   P4/mmm, No. 123
ΔE_f   804 meV per atom

5.
# VCdNi3

A relaxed structure of VCdNi3 (PBE, Alexandria).

Unit cell a=4.3317 b=4.3317 c=4.3317 alpha=90.00 beta=90.00 gamma=90.00
Site moments in Bohr magnetons follow the coordinates.
Fractional coordinates of all 5 atoms:
Ni: 0.0000 0.5000 0.0000  0.03
Ni: 0.0000 0.0000 0.5000  0.03
Ni: 0.5000 0.0000 0.0000  0.03
Cd: 0.5000 0.5000 0.5000  0.00
V: 0.0000 0.0000 0.0000  0.36

Summary:
SG   Pm-3m, No. 221
ΔE_f   833 meV per atom

6.
# Ba6AgPt2Br3

A relaxed structure of Ba6AgPt2Br3 (PBE, Alexandria).

Unit cell a=4.6062 b=9.9991 c=10.9584 alpha=108.55 beta=102.13 gamma=90.00
Fractional coordinates of all 12 atoms:
Ba: 0.3344 0.8888 0.6688
Ba: 0.6768 0.5590 0.3536
Ba: 0.6656 0.1112 0.3312
Ba: 0.0116 0.2474 0.0233
Ba: 0.9884 0.7526 0.9767
Ba: 0.3232 0.4410 0.6464
Ag: 0.5000 0.0000 0.0000
Pt: 0.8338 0.6690 0.6675
Pt: 0.1662 0.3310 0.3325
Br: 0.5000 0.5000 0.0000
Br: 0.8348 0.1696 0.6696
Br: 0.1652 0.8304 0.3304

Summary:
SG   C2/m, No. 12
Formation energy (no corrections)   -1158 meV/atom

Q: What is the formula in the third record?
A: TaSe2Br

Copy entry 4 word for word.
# SrMg2NbZn

A relaxed structure of SrMg2NbZn (PBE, Alexandria).

Unit cell a=5.0412 b=5.6905 c=5.0412 alpha=90.00 beta=90.00 gamma=90.00
Site moments in Bohr magnetons follow the coordinates.
Fractional coordinates of all 5 atoms:
Mg: 0.0000 0.0000 0.5000  -0.02
Mg: 0.5000 0.0000 0.0000  -0.01
Sr: 0.0000 0.5000 0.0000  0.05
Nb: 0.5000 0.5000 0.5000  2.56
Zn: 0.0000 0.0000 0.0000  -0.04

Summary:
SG   P4/mmm, No. 123
ΔE_f   804 meV per atom